<1>
Li2CrRh | GGA-PBEsol | relaxed

Cell: 2.7358 3.5958 5.6908 Å, 90.00 90.00 90.00°
With the nearest neighbours (Å) after each atom.
Fractional coordinates of all 4 atoms:
1 Cr 0.5000 0.5000 0.7058  4 Rh 2.46, 1 Li 2.57, 2 Cr 2.74
2 Li 0.0000 0.0000 0.0059  6 Li 2.66-2.74, 1 Rh 2.68, 4 Cr 2.83
3 Li 0.5000 0.5000 0.2535  1 Cr 2.57, 6 Li 2.66-2.74, 4 Rh 2.77
4 Rh 0.0000 0.0000 0.5347  4 Cr 2.46, 1 Li 2.68, 2 Rh 2.74

Calculated values
The total magnetization comes out at 2.26 Bohr magnetons per cell. As for the symmetry: Pmm2.

<2>
Li2CrRh | GGA-PBEsol | relaxed

Cell: 2.5541 4.3115 4.6656 Å, 90.00 90.00 90.00°
With the nearest neighbours (Å) after each atom.
Fractional coordinates of all 4 atoms:
1 Cr 0.5000 0.5000 0.5000  2 Rh 2.33, 2 Cr 2.55
2 Li 0.0000 0.0000 0.7591  2 Li 2.25-2.42
3 Li 0.0000 0.0000 0.2409  2 Li 2.25-2.42
4 Rh 0.5000 0.5000 0.0000  2 Cr 2.33, 2 Rh 2.55

Calculated values
The total magnetization comes out at 1.31 Bohr magnetons per cell. As for the symmetry: Pmmm.

<3>
Li2CrRh | GGA-PBEsol | relaxed

Cell: 4.0689 4.0689 4.0689 Å, 60.00 60.00 60.00°
With the nearest neighbours (Å) after each atom.
Fractional coordinates of all 4 atoms:
1 Cr 0.5000 0.5000 0.5000  4 Li 2.49, 4 Rh 2.49
2 Li 0.0000 0.0000 0.0000  4 Rh 2.49, 4 Li 2.49
3 Li 0.7500 0.7500 0.7500  4 Li 2.49, 4 Cr 2.49
4 Rh 0.2500 0.2500 0.2500  4 Cr 2.49, 4 Li 2.49

Calculated values
The total magnetization comes out at 0.56 Bohr magnetons per cell. As for the symmetry: F-43m.

<4>
Li2CrRh | GGA-PBEsol | relaxed

Cell: 2.5042 2.5042 9.1012 Å, 90.00 90.00 115.95°
With the nearest neighbours (Å) after each atom.
Fractional coordinates of all 4 atoms:
1 Cr 0.5000 0.5000 0.0000  6 Cr 2.50-2.66, 4 Li 2.72
2 Li 0.0000 0.0000 0.2604  6 Li 2.50-2.66, 2 Rh 2.55, 2 Cr 2.72
3 Li 0.0000 0.0000 0.7396  6 Li 2.50-2.66, 2 Rh 2.55, 2 Cr 2.72
4 Rh 0.5000 0.5000 0.5000  6 Rh 2.50-2.66, 4 Li 2.55

Calculated values
The total magnetization comes out at 0.23 Bohr magnetons per cell. As for the symmetry: Cmmm.

Short version: <2> is the least stable of them.

<1>
Li2ScCr | GGA-PBEsol | relaxed

Cell: 2.5849 2.5849 9.6038 Å, 90.00 90.00 90.00°
With the nearest neighbours (Å) after each atom.
Fractional coordinates of all 4 atoms:
1 Cr 0.5000 0.5000 0.5000  4 Cr 2.58, 8 Li 2.82
2 Li 0.0000 0.0000 0.7239  4 Li 2.58, 4 Cr 2.82
3 Li 0.0000 0.0000 0.2761  4 Li 2.58, 4 Cr 2.82
4 Sc 0.5000 0.5000 0.0000  4 Sc 2.58

Calculated values
The total magnetization comes out at 1.36 Bohr magnetons per cell. As for the symmetry: P4/mmm.

<2>
Li2ScCr | GGA-PBEsol | relaxed

Cell: 3.2034 4.4660 5.6629 Å, 113.22 106.43 90.00°
With the nearest neighbours (Å) after each atom.
Fractional coordinates of all 4 atoms:
1 Cr 0.5000 0.0000 0.0000  4 Sc 2.75, 4 Li 2.81
2 Li 0.7668 0.7668 0.5337  4 Li 2.77, 2 Cr 2.81, 2 Sc 3.09
3 Li 0.2332 0.2332 0.4663  4 Li 2.77, 2 Cr 2.81, 2 Sc 3.09
4 Sc 0.0000 0.5000 0.0000  4 Cr 2.75

Calculated values
The total magnetization comes out at 3.32 Bohr magnetons per cell. As for the symmetry: Immm.

<3>
Li2ScCr | GGA-PBEsol | relaxed

Cell: 2.9753 4.8357 5.7414 Å, 113.14 102.32 96.23°
With the nearest neighbours (Å) after each atom.
Fractional coordinates of all 4 atoms:
1 Cr 0.0000 0.5000 0.0000  4 Sc 2.70-2.97, 4 Li 2.94, 2 Cr 2.98
2 Li 0.0000 0.0000 0.5000  6 Li 2.70-2.98, 2 Sc 2.94, 2 Cr 2.94
3 Li 0.5000 0.5000 0.5000  6 Li 2.70-2.98, 2 Cr 2.94, 2 Sc 2.94
4 Sc 0.5000 0.0000 0.0000  4 Cr 2.70-2.97, 4 Li 2.94, 2 Sc 2.98

Calculated values
The total magnetization comes out at 3.19 Bohr magnetons per cell. As for the symmetry: C2/m.

<4>
Li2ScCr | GGA-PBEsol | relaxed

Cell: 3.4214 3.4214 6.0316 Å, 90.00 90.00 90.00°
With the nearest neighbours (Å) after each atom.
Fractional coordinates of all 4 atoms:
1 Cr 0.5000 0.5000 0.5000  8 Li 2.76, 2 Sc 3.02
2 Li 0.0000 0.0000 0.7195  1 Li 2.65, 4 Cr 2.76, 4 Sc 2.95
3 Li 0.0000 0.0000 0.2805  1 Li 2.65, 4 Cr 2.76, 4 Sc 2.95
4 Sc 0.5000 0.5000 0.0000  8 Li 2.95, 2 Cr 3.02

Calculated values
The total magnetization comes out at 3.27 Bohr magnetons per cell. As for the symmetry: P4/mmm.

Short version: <1> is the least stable of them.

<1>
LiCrSi2 | GGA-PBEsol | relaxed

Cell: 2.7401 2.7401 8.2614 Å, 80.45 80.45 60.00°
With the nearest neighbours (Å) after each atom.
Fractional coordinates of all 4 atoms:
1 Cr 0.5000 0.5000 0.5000  6 Si 2.44
2 Si 0.2431 0.2431 0.2708  3 Cr 2.44, 3 Li 2.71
3 Si 0.7569 0.7569 0.7292  3 Cr 2.44, 3 Li 2.71
4 Li 0.0000 0.0000 0.0000  6 Si 2.71, 6 Li 2.74

Calculated values
The total magnetization comes out at 0.34 Bohr magnetons per cell. As for the symmetry: R-3m.

<2>
LiCrSi2 | GGA-PBEsol | relaxed

Cell: 2.4957 4.4804 4.4804 Å, 109.91 90.00 90.00°
With the nearest neighbours (Å) after each atom.
Fractional coordinates of all 4 atoms:
1 Cr 0.5000 0.0000 0.0000  2 Cr 2.50, 8 Si 2.56, 2 Li 2.57
2 Si 0.0000 0.5000 0.0000  4 Si 2.50-2.57, 4 Cr 2.56, 4 Li 2.56
3 Si 0.0000 0.0000 0.5000  4 Si 2.50-2.57, 4 Li 2.56, 4 Cr 2.56
4 Li 0.5000 0.5000 0.5000  2 Li 2.50, 8 Si 2.56, 2 Cr 2.57

Calculated values
The total magnetization comes out at 0.00 Bohr magnetons per cell. As for the symmetry: Cmmm.

<3>
LiCrSi2 | GGA-PBEsol | relaxed

Cell: 2.5873 2.5873 7.7483 Å, 90.00 90.00 90.00°
With the nearest neighbours (Å) after each atom.
Fractional coordinates of all 4 atoms:
1 Cr 0.5000 0.5000 0.0000  8 Si 2.52, 4 Cr 2.59
2 Si 0.0000 0.0000 0.7763  4 Cr 2.52, 4 Si 2.59, 4 Li 2.82
3 Si 0.0000 0.0000 0.2237  4 Cr 2.52, 4 Si 2.59, 4 Li 2.82
4 Li 0.5000 0.5000 0.5000  4 Li 2.59, 8 Si 2.82

Calculated values
The total magnetization comes out at 1.27 Bohr magnetons per cell. As for the symmetry: P4/mmm.

Short version: <2> is the least stable of them.

<1>
SrLi2Cr | GGA-PBEsol | relaxed

Cell: 3.3861 4.9614 6.0893 Å, 90.00 99.00 90.00°
With the nearest neighbours (Å) after each atom.
Fractional coordinates of all 4 atoms:
1 Cr 0.0000 0.5000 0.5000  4 Li 2.88
2 Li 0.7763 0.0000 0.6871  2 Li 2.71-2.93, 2 Cr 2.88
3 Li 0.2237 0.0000 0.3129  2 Li 2.71-2.93, 2 Cr 2.88
4 Sr 0.5000 0.5000 0.0000  2 Cr 3.24, 4 Li 3.35, 2 Sr 3.39

Calculated values
The total magnetization comes out at 4.47 Bohr magnetons per cell. As for the symmetry: P2/m.

<2>
SrLi2Cr | GGA-PBEsol | relaxed

Cell: 3.7276 3.7276 7.1734 Å, 90.00 90.00 90.00°
With the nearest neighbours (Å) after each atom.
Fractional coordinates of all 4 atoms:
1 Cr 0.5000 0.5000 0.5000  8 Li 2.95
2 Li 0.0000 0.0000 0.6832  1 Li 2.63
3 Li 0.0000 0.0000 0.3168  1 Li 2.63
4 Sr 0.5000 0.5000 0.0000  8 Li 3.48, 2 Cr 3.59, 4 Sr 3.73

Calculated values
The total magnetization comes out at 4.63 Bohr magnetons per cell. As for the symmetry: P4/mmm.

<3>
SrLi2Cr | GGA-PBEsol | relaxed

Cell: 3.6814 3.6814 7.5744 Å, 90.00 90.00 90.00°
With the nearest neighbours (Å) after each atom.
Fractional coordinates of all 4 atoms:
1 Cr 0.5000 0.5000 0.8070  5 Li 2.86-2.94
2 Li 0.0000 0.0000 0.9886  4 Cr 2.94, 4 Li 3.00
3 Li 0.5000 0.5000 0.1845  1 Cr 2.86, 4 Li 3.00
4 Sr 0.0000 0.0000 0.5199  4 Cr 3.39, 5 Li 3.55-3.64, 4 Sr 3.68

Calculated values
The total magnetization comes out at 4.77 Bohr magnetons per cell. As for the symmetry: P4mm.

Short version: <1> is the least stable of them.